This record from Alexandria describes a geometry-optimized Pm3DyHo3 structure. The functional is PBE.

Results
Its raw total energy is -4.492 eV/atom. The symmetry is No. 148.

Unit cell a=6.205 b=6.205 c=14.794 alpha=77.89 beta=77.89 gamma=60.00
Sites, in units of the cell vectors:
1 Pm 0.200 0.869 0.394
2 Pm 0.538 0.200 0.394
3 Pm 0.869 0.538 0.394
4 Pm 0.131 0.462 0.606
5 Pm 0.462 0.800 0.606
6 Pm 0.800 0.131 0.606
7 Dy 0.667 0.667 0.000
8 Dy 0.333 0.333 0.000
9 Ho 0.935 0.269 0.195
10 Ho 0.601 0.935 0.195
11 Ho 0.269 0.601 0.195
12 Ho 0.731 0.399 0.805
13 Ho 0.399 0.065 0.805
14 Ho 0.065 0.731 0.805